LiIr2Rh | PBE | relaxed

Calculated values
Formation energy = -0.052 eV per atom

Structure (CIF):
```
data_LiIr2Rh
_chemical_formula_sum 'Li1 Ir2 Rh1'
_space_group_name_H-M_alt 'P m m 2'
_space_group_IT_number 25
_cell_length_a 2.716
_cell_length_b 3.839
_cell_length_c 5.286
_cell_angle_alpha 90.00
_cell_angle_beta 90.00
_cell_angle_gamma 90.00
loop_
_space_group_symop_operation_xyz
'x,y,z'
'-x,-y,z'
'-x,y,z'
'x,-y,z'
loop_
_atom_site_label
_atom_site_type_symbol
_atom_site_fract_x
_atom_site_fract_y
_atom_site_fract_z
Li1 Li 0.000 0.000 0.000
Ir1 Ir 0.000 0.000 0.502
Ir2 Ir 0.500 0.500 0.743
Rh1 Rh 0.500 0.500 0.233
```



Li2Ir2Rh7 | PBE | relaxed

Calculated values
Formation energy = 0.112 eV per atom

Structure (CIF):
```
data_Li2Ir2Rh7
_chemical_formula_sum 'Li4 Ir4 Rh14'
_space_group_name_H-M_alt 'I m m m'
_space_group_IT_number 71
_space_group_name_Hall '-I 2 2'
_cell_length_a 4.331
_cell_length_b 8.344
_cell_length_c 8.508
_cell_angle_alpha 90.00
_cell_angle_beta 90.00
_cell_angle_gamma 90.00
loop_
_atom_site_label
_atom_site_type_symbol
_atom_site_fract_x
_atom_site_fract_y
_atom_site_fract_z
Li1 Li 0.000 0.000 0.162
Ir1 Ir 0.000 0.238 0.000
Rh1 Rh 0.000 0.219 0.337
Rh2 Rh 0.000 0.500 0.168
Rh3 Rh 0.000 0.500 0.500
```



Li3Ir2Rh | PBE | relaxed

Calculated values
Formation energy = -0.218 eV per atom

Structure (CIF):
```
data_Li3Ir2Rh
_chemical_formula_sum 'Li6 Ir4 Rh2'
_space_group_name_H-M_alt 'P m m n'
_space_group_IT_number 59
_cell_length_a 4.441
_cell_length_b 8.060
_cell_length_c 4.578
_cell_angle_alpha 90.00
_cell_angle_beta 90.00
_cell_angle_gamma 90.00
loop_
_space_group_symop_operation_xyz
'x,y,z'
'-x,-y,-z'
'-x+1/2,-y+1/2,z'
'x+1/2,y+1/2,-z'
'x+1/2,-y,-z'
'-x+1/2,y,z'
'-x,y+1/2,-z'
'x,-y+1/2,z'
loop_
_atom_site_label
_atom_site_type_symbol
_atom_site_fract_x
_atom_site_fract_y
_atom_site_fract_z
Li1 Li 0.250 0.083 0.062
Li2 Li 0.250 0.750 0.055
Ir1 Ir 0.250 0.583 0.551
Rh1 Rh 0.250 0.250 0.562
```



LiIr4Rh | PBE | relaxed

Calculated values
Excess energy over the best structure of this formula in the dataset = 0.000 eV/atom
Formation energy = 0.121 eV per atom

Structure (CIF):
```
data_LiIr4Rh
_chemical_formula_sum 'Li8 Ir32 Rh8'
_space_group_name_H-M_alt 'F d d d'
_space_group_IT_number 70
_cell_length_a 5.395
_cell_length_b 8.791
_cell_length_c 14.800
_cell_angle_alpha 90.00
_cell_angle_beta 90.00
_cell_angle_gamma 90.00
loop_
_space_group_symop_operation_xyz
'x,y,z'
'-x,-y,-z'
'-x+1/4,-y+1/4,z'
'x+1/4,y+1/4,-z'
'x,-y+1/4,-z+1/4'
'-x,y+1/4,z+1/4'
'-x+1/4,y,-z+1/4'
'x+1/4,-y,z+1/4'
'x,y+1/2,z+1/2'
'-x,-y+1/2,-z+1/2'
'-x+1/4,-y+3/4,z+1/2'
'x+1/4,y+3/4,-z+1/2'
'x,-y+3/4,-z+3/4'
'-x,y+3/4,z+3/4'
'-x+1/4,y+1/2,-z+3/4'
'x+1/4,-y+1/2,z+3/4'
'x+1/2,y,z+1/2'
'-x+1/2,-y,-z+1/2'
'-x+3/4,-y+1/4,z+1/2'
'x+3/4,y+1/4,-z+1/2'
'x+1/2,-y+1/4,-z+3/4'
'-x+1/2,y+1/4,z+3/4'
'-x+3/4,y,-z+3/4'
'x+3/4,-y,z+3/4'
'x+1/2,y+1/2,z'
'-x+1/2,-y+1/2,-z'
'-x+3/4,-y+3/4,z'
'x+3/4,y+3/4,-z'
'x+1/2,-y+3/4,-z+1/4'
'-x+1/2,y+3/4,z+1/4'
'-x+3/4,y+1/2,-z+1/4'
'x+3/4,-y+1/2,z+1/4'
loop_
_atom_site_label
_atom_site_type_symbol
_atom_site_fract_x
_atom_site_fract_y
_atom_site_fract_z
Li1 Li 0.125 0.125 0.125
Ir1 Ir 0.121 0.375 0.224
Rh1 Rh 0.125 0.125 0.625
```



LiIr2Rh | PBE | relaxed

Calculated values
Formation energy = -0.058 eV per atom

Structure (CIF):
```
data_LiIr2Rh
_chemical_formula_sum 'Li2 Ir4 Rh2'
_space_group_name_H-M_alt 'C m m m'
_space_group_IT_number 65
_space_group_name_Hall '-C 2 2'
_cell_length_a 5.288
_cell_length_b 7.852
_cell_length_c 2.670
_cell_angle_alpha 90.00
_cell_angle_beta 90.00
_cell_angle_gamma 90.00
loop_
_atom_site_label
_atom_site_type_symbol
_atom_site_fract_x
_atom_site_fract_y
_atom_site_fract_z
Li1 Li 0.000 0.000 0.000
Ir1 Ir 0.250 0.250 0.500
Rh1 Rh 0.000 0.500 0.000
```



LiIr2Rh | PBE | relaxed

Calculated values
Formation energy = -0.116 eV per atom

Structure (CIF):
```
data_LiIr2Rh
_chemical_formula_sum 'Li2 Ir4 Rh2'
_space_group_name_H-M_alt 'C 1 2/m 1'
_space_group_IT_number 12
_cell_length_a 8.985
_cell_length_b 2.710
_cell_length_c 4.611
_cell_angle_alpha 90.00
_cell_angle_beta 98.51
_cell_angle_gamma 90.00
loop_
_space_group_symop_operation_xyz
'x,y,z'
'-x,-y,-z'
'-x,y,-z'
'x,-y,z'
'x+1/2,y+1/2,z'
'-x+1/2,-y+1/2,-z'
'-x+1/2,y+1/2,-z'
'x+1/2,-y+1/2,z'
loop_
_atom_site_label
_atom_site_type_symbol
_atom_site_fract_x
_atom_site_fract_y
_atom_site_fract_z
Li1 Li 0.000 0.000 0.000
Ir1 Ir 0.243 0.000 0.753
Rh1 Rh 0.000 0.500 0.500
```



LiIr3Rh6 | PBE | relaxed

Calculated values
Formation energy = 0.273 eV per atom

Structure (CIF):
```
data_LiIr3Rh6
_chemical_formula_sum 'Li2 Ir6 Rh12'
_space_group_name_H-M_alt 'P 1 21/c 1'
_space_group_IT_number 14
_cell_length_a 4.460
_cell_length_b 7.185
_cell_length_c 9.458
_cell_angle_alpha 90.00
_cell_angle_beta 104.02
_cell_angle_gamma 90.00
loop_
_space_group_symop_operation_xyz
'x,y,z'
'-x,-y,-z'
'-x,y+1/2,-z+1/2'
'x,-y+1/2,z+1/2'
loop_
_atom_site_label
_atom_site_type_symbol
_atom_site_fract_x
_atom_site_fract_y
_atom_site_fract_z
Li1 Li 0.000 0.000 0.000
Ir1 Ir 0.110 0.055 0.257
Ir2 Ir 0.500 0.000 0.500
Rh1 Rh 0.013 0.183 0.537
Rh2 Rh 0.408 0.721 0.314
Rh3 Rh 0.415 0.144 0.899
```



Li2Ir4Rh | PBE | relaxed

Calculated values
Formation energy = 1.610 eV per atom

Structure (CIF):
```
data_Li2Ir4Rh
_chemical_formula_sum 'Li4 Ir8 Rh2'
_space_group_name_H-M_alt 'I 4/m m m'
_space_group_IT_number 139
_space_group_name_Hall '-I 4 2'
_cell_length_a 4.659
_cell_length_b 4.659
_cell_length_c 12.624
_cell_angle_alpha 90.00
_cell_angle_beta 90.00
_cell_angle_gamma 90.00
loop_
_atom_site_label
_atom_site_type_symbol
_atom_site_fract_x
_atom_site_fract_y
_atom_site_fract_z
Li1 Li 0.000 0.000 0.109
Ir1 Ir 0.000 0.000 0.305
Ir2 Ir 0.000 0.500 0.000
Rh1 Rh 0.000 0.000 0.500
```



LiIr2Rh | PBE | relaxed

Calculated values
Formation energy = 0.072 eV per atom

Structure (CIF):
```
data_LiIr2Rh
_chemical_formula_sum 'Li2 Ir4 Rh2'
_space_group_name_H-M_alt 'C 1 2/m 1'
_space_group_IT_number 12
_cell_length_a 5.266
_cell_length_b 9.091
_cell_length_c 2.670
_cell_angle_alpha 90.00
_cell_angle_beta 117.33
_cell_angle_gamma 90.00
loop_
_space_group_symop_operation_xyz
'x,y,z'
'-x,-y,-z'
'-x,y,-z'
'x,-y,z'
'x+1/2,y+1/2,z'
'-x+1/2,-y+1/2,-z'
'-x+1/2,y+1/2,-z'
'x+1/2,-y+1/2,z'
loop_
_atom_site_label
_atom_site_type_symbol
_atom_site_fract_x
_atom_site_fract_y
_atom_site_fract_z
Li1 Li 0.000 0.000 0.000
Ir1 Ir 0.250 0.250 0.500
Rh1 Rh 0.000 0.500 0.000
```



LiIr4Rh | PBE | relaxed

Calculated values
Excess energy over the best structure of this formula in the dataset = 0.272 eV/atom
Formation energy = 0.393 eV per atom

Structure (CIF):
```
data_LiIr4Rh
_chemical_formula_sum 'Li4 Ir16 Rh4'
_space_group_name_H-M_alt 'F -4 3 m'
_space_group_IT_number 216
_space_group_name_Hall 'F -4 2 3'
_cell_length_a 7.275
_cell_length_b 7.275
_cell_length_c 7.275
_cell_angle_alpha 90.00
_cell_angle_beta 90.00
_cell_angle_gamma 90.00
loop_
_atom_site_label
_atom_site_type_symbol
_atom_site_fract_x
_atom_site_fract_y
_atom_site_fract_z
Li1 Li 0.000 0.000 0.000
Ir1 Ir 0.125 0.125 0.375
Rh1 Rh 0.250 0.250 0.750
```



Li2Ir2Rh | PBE | relaxed

Calculated values
Excess energy over the best structure of this formula in the dataset = 0.208 eV/atom
Formation energy = 0.390 eV per atom

Structure (CIF):
```
data_Li2Ir2Rh
_chemical_formula_sum 'Li4 Ir4 Rh2'
_space_group_name_H-M_alt 'I 4/m m m'
_space_group_IT_number 139
_space_group_name_Hall '-I 4 2'
_cell_length_a 3.864
_cell_length_b 3.864
_cell_length_c 8.659
_cell_angle_alpha 90.00
_cell_angle_beta 90.00
_cell_angle_gamma 90.00
loop_
_atom_site_label
_atom_site_type_symbol
_atom_site_fract_x
_atom_site_fract_y
_atom_site_fract_z
Li1 Li 0.000 0.000 0.097
Ir1 Ir 0.000 0.500 0.250
Rh1 Rh 0.000 0.000 0.500
```



LiIr2Rh | PBE | relaxed

Calculated values
Formation energy = -0.062 eV per atom

Structure (CIF):
```
data_LiIr2Rh
_chemical_formula_sum 'Li2 Ir4 Rh2'
_space_group_name_H-M_alt 'I 4/m m m'
_space_group_IT_number 139
_space_group_name_Hall '-I 4 2'
_cell_length_a 3.755
_cell_length_b 3.755
_cell_length_c 7.764
_cell_angle_alpha 90.00
_cell_angle_beta 90.00
_cell_angle_gamma 90.00
loop_
_atom_site_label
_atom_site_type_symbol
_atom_site_fract_x
_atom_site_fract_y
_atom_site_fract_z
Li1 Li 0.000 0.000 0.000
Ir1 Ir 0.000 0.500 0.250
Rh1 Rh 0.000 0.000 0.500
```



In the order shown, the computed raw total energy values come out to -27.2 -143.5 -64.2 -351.9 -54.4 -54.9 -139.7 -70.7 -53.4 -169.4 -53.9 -54.5 eV/cell.